{
  "formula": "Sr2Tl7Pb2",
  "functional": "GGA-PBE",
  "state": "relaxed",
  "lattice_angstrom": [[5.505, -5.986, 0.000], [5.505, 5.986, 0.000], [0.000, 0.000, 6.466]],
  "species": ["Sr", "Sr", "Tl", "Tl", "Tl", "Tl", "Tl", "Tl", "Tl", "Pb", "Pb"],
  "frac_coords": [[0.185, 0.185, 0.000], [0.815, 0.815, 0.000], [0.000, 0.000, 0.500], [0.000, 0.500, 0.251], [0.000, 0.500, 0.749], [0.500, 0.000, 0.251], [0.500, 0.000, 0.749], [0.500, 0.500, 0.243], [0.500, 0.500, 0.757], [0.264, 0.736, 0.500], [0.736, 0.264, 0.500]],
  "final_energy_ev_per_atom": -2.434,
  "sg": "No. 65",
  "ef_kj_per_mol_atoms": 5.0,
  "m_tot_mub_per_cell": 0.00,
  "crystal_system": "orthorhombic",
  "n_ef_per_ev_cell": 6.9
}


{
  "formula": "Pm6Tl2Au",
  "functional": "GGA-PBE",
  "state": "relaxed",
  "lattice_angstrom": [[9.016, 0.000, 0.000], [-4.508, 7.808, 0.000], [0.000, 0.000, 3.877]],
  "species": ["Pm", "Pm", "Pm", "Pm", "Pm", "Pm", "Tl", "Tl", "Au"],
  "frac_coords": [[0.000, 0.258, 0.000], [0.000, 0.603, 0.500], [0.258, 0.000, 0.000], [0.397, 0.397, 0.500], [0.603, 0.000, 0.500], [0.742, 0.742, 0.000], [0.333, 0.667, 0.000], [0.667, 0.333, 0.000], [0.000, 0.000, 0.500]],
  "final_energy_ev_per_atom": -4.414,
  "sg": "No. 189",
  "ef_kj_per_mol_atoms": -34.4,
  "m_tot_mub_per_cell": 0.00,
  "crystal_system": "hexagonal",
  "n_ef_per_ev_cell": 14.3
}


Question: What is the formula in the first record?
Answer: Sr2Tl7Pb2